Version 1
Computed, not measured: crystalline SiAgCl2 at its relaxed geometry at the PBEsol level of DFT.

a = 3.1669 Å, b = 5.4736 Å, c = 5.4736 Å
α = 61.95°, β = 73.18°, γ = 73.18°
Sites, in units of the cell vectors:
Cl 0.0353 0.9647 0.9647
Si 0.4884 0.5116 0.5116
Cl 0.2037 0.2963 0.2963
Ag 0.7726 0.7274 0.7274

Computed properties:
**Space-group type**: Imm2, No. 44
**Volume**: 19.71 A^3/atom



Version 2
Computed, not measured: crystalline SiAgCl2 at its relaxed geometry at the PBEsol level of DFT.

a = 3.1065 Å, b = 5.1965 Å, c = 5.1965 Å
α = 90.28°, β = 89.20°, γ = 89.20°
Sites, in units of the cell vectors:
Cl 0.0000 0.0000 0.5000
Si 0.0000 0.0000 0.0000
Cl 0.0000 0.5000 0.0000
Ag 0.0000 0.5000 0.5000

Computed properties:
**Space-group type**: C2/m, No. 12
**Volume**: 20.97 A^3/atom



Version 3
Computed, not measured: crystalline SiAgCl2 at its relaxed geometry at the PBEsol level of DFT.

a = 3.1391 Å, b = 4.3345 Å, c = 6.2198 Å
α = 96.22°, β = 90.00°, γ = 111.23°
Sites, in units of the cell vectors:
Si 0.0000 0.0000 0.5000
Ag 0.5000 0.0000 0.0000
Cl 0.7823 0.5645 0.7564
Cl 0.2177 0.4355 0.2436

Computed properties:
**Space-group type**: C2/m, No. 12
**Volume**: 19.59 A^3/atom



Version 4
Computed, not measured: crystalline SiAgCl2 at its relaxed geometry at the PBEsol level of DFT.

a = 3.2380 Å, b = 4.2588 Å, c = 7.1354 Å
α = 107.36°, β = 103.11°, γ = 90.00°
Sites, in units of the cell vectors:
Cl 0.1485 0.1485 0.2970
Cl 0.8515 0.8515 0.7030
Si 0.5000 0.0000 0.0000
Ag 0.0000 0.5000 0.0000

Computed properties:
**Space-group type**: Immm, No. 71
**Volume**: 22.80 A^3/atom



Result of the stability comparison: version 3 is the least stable of them.



Version 1
Computed, not measured: crystalline TaAgCl2 at its relaxed geometry at the PBEsol level of DFT.

a = 4.6664 Å, b = 4.6664 Å, c = 4.6664 Å
α = 60.00°, β = 60.00°, γ = 60.00°
Site moments in Bohr magnetons follow the coordinates.
Sites, in units of the cell vectors:
Cl 0.0000 0.0000 0.0000  -0.02
Ag 0.5000 0.5000 0.5000  0.03
Cl 0.2500 0.2500 0.2500  0.04
Ta 0.7500 0.7500 0.7500  1.23

Computed properties:
**Space-group type**: F-43m, No. 216
**Volume**: 17.96 A^3/atom



Version 2
Computed, not measured: crystalline TaAgCl2 at its relaxed geometry at the PBEsol level of DFT.

a = 3.1089 Å, b = 3.1089 Å, c = 10.7021 Å
α = 81.65°, β = 81.65°, γ = 60.00°
Sites, in units of the cell vectors:
Ta 0.0000 0.0000 0.0000
Cl 0.0714 0.0714 0.7857
Ag 0.5000 0.5000 0.5000
Cl 0.9286 0.9286 0.2143

Computed properties:
**Space-group type**: R-3m, No. 166
**Volume**: 22.08 A^3/atom



Result of the stability comparison: version 1 is the least stable of them.



Version 1
Computed, not measured: crystalline Tc2AgCl at its relaxed geometry at the PBEsol level of DFT.

a = 2.8484 Å, b = 4.5267 Å, c = 4.5267 Å
α = 90.00°, β = 90.00°, γ = 90.00°
Sites, in units of the cell vectors:
Tc 0.0000 0.5000 0.0000
Cl 0.5000 0.0000 0.0000
Tc 0.0000 0.0000 0.5000
Ag 0.5000 0.5000 0.5000

Computed properties:
**Space-group type**: P4/mmm, No. 123
**Volume**: 14.59 A^3/atom



Version 2
Computed, not measured: crystalline Tc2AgCl at its relaxed geometry at the PBEsol level of DFT.

a = 4.3931 Å, b = 4.2953 Å, c = 4.2955 Å
α = 85.66°, β = 63.27°, γ = 116.73°
Sites, in units of the cell vectors:
Ag 0.0000 0.5002 0.5001
Cl 0.5000 0.7509 0.7509
Tc 0.5000 0.2491 0.2491
Tc 0.0000 0.9999 0.9998

Computed properties:
**Space-group type**: C2, No. 5
**Volume**: 15.15 A^3/atom



Version 3
Computed, not measured: crystalline Tc2AgCl at its relaxed geometry at the PBEsol level of DFT.

a = 3.6165 Å, b = 3.6165 Å, c = 5.5545 Å
α = 109.00°, β = 109.00°, γ = 90.00°
Sites, in units of the cell vectors:
Ag 0.5000 0.5000 0.0000
Tc 0.2500 0.7500 0.5000
Cl 0.0000 0.0000 0.0000
Tc 0.7500 0.2500 0.5000

Computed properties:
**Space-group type**: I4/mmm, No. 139
**Volume**: 16.12 A^3/atom



Result of the stability comparison: version 3 is the least stable of them.



Version 1
Computed, not measured: crystalline TlAg2Cl at its relaxed geometry at the PBEsol level of DFT.

a = 4.8926 Å, b = 4.8926 Å, c = 4.8926 Å
α = 60.00°, β = 60.00°, γ = 60.00°
Sites, in units of the cell vectors:
Tl 0.5000 0.5000 0.5000
Ag 0.7500 0.7500 0.7500
Ag 0.2500 0.2500 0.2500
Cl 0.0000 0.0000 0.0000

Computed properties:
**Space-group type**: Fm-3m, No. 225
**Volume**: 20.70 A^3/atom



Version 2
Computed, not measured: crystalline TlAg2Cl at its relaxed geometry at the PBEsol level of DFT.

a = 4.9613 Å, b = 4.9613 Å, c = 4.9613 Å
α = 60.00°, β = 60.00°, γ = 60.00°
Sites, in units of the cell vectors:
Ag 0.2500 0.2500 0.2500
Cl 0.5000 0.5000 0.5000
Tl 0.7500 0.7500 0.7500
Ag 0.0000 0.0000 0.0000

Computed properties:
**Space-group type**: F-43m, No. 216
**Volume**: 21.59 A^3/atom



Result of the stability comparison: version 1 is the least stable of them.



Version 1
Computed, not measured: crystalline AgWCl2 at its relaxed geometry at the PBEsol level of DFT.

a = 2.9737 Å, b = 2.9737 Å, c = 10.3166 Å
α = 81.71°, β = 81.71°, γ = 60.00°
Sites, in units of the cell vectors:
W 0.0000 0.0000 0.0000
Cl 0.9268 0.9268 0.2196
Cl 0.0732 0.0732 0.7804
Ag 0.5000 0.5000 0.5000

Computed properties:
**Space-group type**: R-3m, No. 166
**Volume**: 19.48 A^3/atom



Version 2
Computed, not measured: crystalline AgWCl2 at its relaxed geometry at the PBEsol level of DFT.

a = 2.8853 Å, b = 4.9408 Å, c = 6.5778 Å
α = 112.06°, β = 102.67°, γ = 90.00°
Sites, in units of the cell vectors:
Cl 0.1618 0.1618 0.3235
Ag 0.0000 0.5000 0.0000
W 0.5000 0.0000 0.0000
Cl 0.8382 0.8382 0.6765

Computed properties:
**Space-group type**: Immm, No. 71
**Volume**: 21.11 A^3/atom



Result of the stability comparison: version 1 is the least stable of them.



Version 1
Computed, not measured: crystalline YAgCl2 at its relaxed geometry at the PBEsol level of DFT.

a = 4.8940 Å, b = 4.8940 Å, c = 4.8940 Å
α = 60.00°, β = 60.00°, γ = 60.00°
Sites, in units of the cell vectors:
Ag 0.5000 0.5000 0.5000
Cl 0.7500 0.7500 0.7500
Cl 0.0000 0.0000 0.0000
Y 0.2500 0.2500 0.2500

Computed properties:
**Space-group type**: F-43m, No. 216
**Volume**: 20.72 A^3/atom



Version 2
Computed, not measured: crystalline YAgCl2 at its relaxed geometry at the PBEsol level of DFT.

a = 4.6015 Å, b = 4.6015 Å, c = 9.4166 Å
α = 104.14°, β = 104.14°, γ = 90.00°
Sites, in units of the cell vectors:
Cl 0.1250 0.1503 0.7500
Y 0.5000 0.5000 0.0000
Cl 0.8497 0.3750 0.2500
Cl 0.4003 0.8750 0.2500
Ag 0.2500 0.7500 0.5000
Cl 0.6250 0.5997 0.7500
Y 0.7500 0.2500 0.5000
Ag 0.0000 0.0000 0.0000

Computed properties:
**Space-group type**: I-42d, No. 122
**Volume**: 23.39 A^3/atom



Version 3
Computed, not measured: crystalline YAgCl2 at its relaxed geometry at the PBEsol level of DFT.

a = 3.6172 Å, b = 3.9004 Å, c = 7.4417 Å
α = 105.19°, β = 90.00°, γ = 90.00°
Sites, in units of the cell vectors:
Cl 0.0000 0.9791 0.9582
Y 0.0000 0.1603 0.3206
Ag 0.5000 0.5595 0.1190
Cl 0.5000 0.2920 0.5840

Computed properties:
**Space-group type**: Amm2, No. 38
**Volume**: 25.33 A^3/atom



Version 4
Computed, not measured: crystalline YAgCl2 at its relaxed geometry at the PBEsol level of DFT.

a = 3.5360 Å, b = 3.5360 Å, c = 7.1330 Å
α = 90.00°, β = 90.00°, γ = 90.00°
Sites, in units of the cell vectors:
Ag 0.5000 0.5000 0.7599
Cl 0.0000 0.0000 0.9170
Y 0.0000 0.0000 0.5294
Cl 0.5000 0.5000 0.2936

Computed properties:
**Space-group type**: P4mm, No. 99
**Volume**: 22.30 A^3/atom



Result of the stability comparison: version 1 is the least stable of them.



Version 1
Computed, not measured: crystalline YAg2Cl at its relaxed geometry at the PBEsol level of DFT.

a = 3.9889 Å, b = 4.0000 Å, c = 5.4225 Å
α = 90.00°, β = 90.00°, γ = 90.00°
Sites, in units of the cell vectors:
Y 0.5000 0.5000 0.5000
Ag 0.0000 0.0000 0.2533
Ag 0.0000 0.0000 0.7467
Cl 0.5000 0.5000 0.0000

Computed properties:
**Space-group type**: Pmmm, No. 47
**Volume**: 21.63 A^3/atom



Version 2
Computed, not measured: crystalline YAg2Cl at its relaxed geometry at the PBEsol level of DFT.

a = 3.8451 Å, b = 3.8451 Å, c = 6.0727 Å
α = 108.46°, β = 108.46°, γ = 90.00°
Sites, in units of the cell vectors:
Cl 0.5000 0.5000 0.0000
Y 0.0000 0.0000 0.0000
Ag 0.2500 0.7500 0.5000
Ag 0.7500 0.2500 0.5000

Computed properties:
**Space-group type**: I4/mmm, No. 139
**Volume**: 20.07 A^3/atom



Result of the stability comparison: version 1 is the least stable of them.



Version 1
Computed, not measured: crystalline ZnAgCl at its relaxed geometry at the PBEsol level of DFT.

a = 3.0843 Å, b = 3.0843 Å, c = 5.9723 Å
α = 104.96°, β = 104.96°, γ = 90.00°
Sites, in units of the cell vectors:
Zn 0.3353 0.3353 0.6706
Cl 0.6863 0.6863 0.3726
Ag 0.9784 0.9784 0.9568

Computed properties:
**Space-group type**: I4mm, No. 107
**Volume**: 17.63 A^3/atom



Version 2
Computed, not measured: crystalline ZnAgCl at its relaxed geometry at the PBEsol level of DFT.

a = 3.3084 Å, b = 3.3084 Å, c = 5.6816 Å
α = 90.00°, β = 90.00°, γ = 120.00°
Sites, in units of the cell vectors:
Cl 0.6667 0.3333 0.6340
Ag 0.0000 0.0000 0.0279
Zn 0.3333 0.6667 0.3381

Computed properties:
**Space-group type**: P3m1, No. 156
**Volume**: 17.95 A^3/atom



Result of the stability comparison: version 1 is the least stable of them.



Version 1
Computed, not measured: crystalline ZnAg2Cl at its relaxed geometry at the PBEsol level of DFT.

a = 3.0534 Å, b = 3.0968 Å, c = 7.5694 Å
α = 89.98°, β = 90.00°, γ = 90.00°
Sites, in units of the cell vectors:
Ag 0.5000 0.4995 0.2242
Ag 0.0000 0.9996 0.9807
Zn 0.5000 0.4995 0.7706
Cl 0.0000 0.5013 0.5244

Computed properties:
**Space-group type**: Pm, No. 6
**Volume**: 17.89 A^3/atom



Version 2
Computed, not measured: crystalline ZnAg2Cl at its relaxed geometry at the PBEsol level of DFT.

a = 3.0017 Å, b = 3.0017 Å, c = 7.6519 Å
α = 90.00°, β = 90.00°, γ = 90.00°
Sites, in units of the cell vectors:
Zn 0.5000 0.5000 0.7541
Ag 0.5000 0.5000 0.2308
Cl 0.0000 0.0000 0.5343
Ag 0.0000 0.0000 0.9808

Computed properties:
**Space-group type**: P4mm, No. 99
**Volume**: 17.24 A^3/atom



Version 3
Computed, not measured: crystalline ZnAg2Cl at its relaxed geometry at the PBEsol level of DFT.

a = 3.6884 Å, b = 3.6884 Å, c = 5.9588 Å
α = 108.03°, β = 108.03°, γ = 90.00°
Sites, in units of the cell vectors:
Ag 0.0000 0.0000 0.0000
Zn 0.2500 0.7500 0.5000
Ag 0.7500 0.2500 0.5000
Cl 0.5000 0.5000 0.0000

Computed properties:
**Space-group type**: I-4m2, No. 119
**Volume**: 18.22 A^3/atom



Result of the stability comparison: version 3 is the least stable of them.



Version 1
Computed, not measured: crystalline CoAg5 at its relaxed geometry at the PBEsol level of DFT.

a = 5.2510 Å, b = 5.2510 Å, c = 5.2510 Å
α = 60.00°, β = 60.00°, γ = 60.00°
Site moments in Bohr magnetons follow the coordinates.
Sites, in units of the cell vectors:
Ag 0.7500 0.7500 0.7500  0.00
Ag 0.3748 0.3748 0.3748  0.00
Ag 0.3748 0.8755 0.3748  0.00
Co 0.0000 0.0000 0.0000  1.88
Ag 0.3748 0.3748 0.8755  0.00
Ag 0.8755 0.3748 0.3748  0.00

Computed properties:
**Space-group type**: F-43m, No. 216
**Volume**: 17.06 A^3/atom



Version 2
Computed, not measured: crystalline CoAg5 at its relaxed geometry at the PBEsol level of DFT.

a = 4.6395 Å, b = 5.2059 Å, c = 5.2059 Å
α = 120.00°, β = 90.00°, γ = 90.00°
Site moments in Bohr magnetons follow the coordinates.
Sites, in units of the cell vectors:
Ag 0.5000 0.5000 0.0000  0.00
Ag 0.0000 0.3333 0.6667  0.00
Ag 0.5000 0.5000 0.5000  0.00
Ag 0.0000 0.6667 0.3333  0.00
Ag 0.5000 0.0000 0.5000  0.00
Co 0.0000 0.0000 0.0000  2.03

Computed properties:
**Space-group type**: P6/mmm, No. 191
**Volume**: 18.15 A^3/atom



Result of the stability comparison: version 2 is the least stable of them.



Version 1
Computed, not measured: crystalline CrCo2Ag at its relaxed geometry at the PBEsol level of DFT.

a = 2.5752 Å, b = 2.5752 Å, c = 8.4710 Å
α = 81.26°, β = 81.26°, γ = 60.00°
Site moments in Bohr magnetons follow the coordinates.
Sites, in units of the cell vectors:
Ag 0.0000 0.0000 0.0000  0.00
Cr 0.5000 0.5000 0.5000  -0.10
Co 0.2416 0.2416 0.2753  0.29
Co 0.7584 0.7584 0.7247  0.29

Computed properties:
**Space-group type**: R-3m, No. 166
**Volume**: 11.97 A^3/atom



Version 2
Computed, not measured: crystalline CrCo2Ag at its relaxed geometry at the PBEsol level of DFT.

a = 3.5269 Å, b = 3.7136 Å, c = 3.7136 Å
α = 90.00°, β = 90.00°, γ = 90.00°
Site moments in Bohr magnetons follow the coordinates.
Sites, in units of the cell vectors:
Co 0.0000 0.0000 0.5000  -0.77
Cr 0.5000 0.5000 0.5000  2.51
Co 0.0000 0.5000 0.0000  -0.77
Ag 0.5000 0.0000 0.0000  0.03

Computed properties:
**Space-group type**: P4/mmm, No. 123
**Volume**: 12.16 A^3/atom



Result of the stability comparison: version 2 is the least stable of them.



Version 1
Computed, not measured: crystalline CrCoAg at its relaxed geometry at the PBEsol level of DFT.

a = 2.6376 Å, b = 2.6376 Å, c = 5.7714 Å
α = 103.21°, β = 103.21°, γ = 90.00°
Site moments in Bohr magnetons follow the coordinates.
Sites, in units of the cell vectors:
Cr 0.3119 0.3119 0.6239  0.45
Co 0.6856 0.6856 0.3712  0.43
Ag 0.0025 0.0025 0.0049  0.02

Computed properties:
**Space-group type**: I4mm, No. 107
**Volume**: 12.67 A^3/atom



Version 2
Computed, not measured: crystalline CrCoAg at its relaxed geometry at the PBEsol level of DFT.

a = 4.0128 Å, b = 4.0128 Å, c = 4.0128 Å
α = 60.00°, β = 60.00°, γ = 60.00°
Site moments in Bohr magnetons follow the coordinates.
Sites, in units of the cell vectors:
Co 0.2500 0.2500 0.2500  -0.74
Cr 0.0000 0.0000 0.0000  2.71
Ag 0.5000 0.5000 0.5000  0.03

Computed properties:
**Space-group type**: F-43m, No. 216
**Volume**: 15.23 A^3/atom



Result of the stability comparison: version 2 is the least stable of them.